No. 1
Computed, not measured: crystalline Rb3YBi2Te6 at its relaxed geometry at the PBE level of DFT.

The calculation puts the spin magnetization at 0.00 μB per formula unit. For the formation energy from raw total energies, the calculation gives -84 kJ/mol of atoms.

It has space group C2/m (No. 12), with a = 7.975 Å, b = 13.813 Å, c = 8.965 Å, α = 90.00°, β = 107.24° and γ = 90.00°. The distinct sites, in fractional coordinates, are Rb at (0.000, 0.000, 0.000), Rb at (0.000, 0.331, 0.000), Y at (0.000, 0.500, 0.500), Bi at (0.000, 0.166, 0.500), Te at (0.231, 0.336, 0.700) and Te at (0.239, 0.000, 0.701).



No. 2
Computed, not measured: crystalline MnFeBr at its relaxed geometry at the PBE level of DFT.

The calculation puts the spin magnetization at 6.40 μB per formula unit. For the formation energy from raw total energies, the calculation gives 68 kJ/mol of atoms.

It has space group P3m1 (No. 156), with a = 4.2842 Å, b = 4.2842 Å, c = 3.0939 Å, α = 90.00°, β = 90.00° and γ = 120.00°. The distinct sites, in fractional coordinates, are Mn at (0.0000, 0.0000, 0.0000), Fe at (0.3333, 0.6667, 0.4331) and Br at (0.6667, 0.3333, 0.4374).



No. 3
Computed, not measured: crystalline Nd3PdN at its relaxed geometry at the PBE level of DFT.

The calculation puts the spin magnetization at 0.00 μB per formula unit. For the formation energy from raw total energies, the calculation gives -65 kJ/mol of atoms.

It has space group Pm-3m (No. 221), with a = 4.953 Å, b = 4.953 Å, c = 4.953 Å, α = 90.00°, β = 90.00° and γ = 90.00°. The distinct sites, in fractional coordinates, are Nd at (0.000, 0.000, 0.500), Pd at (0.500, 0.500, 0.500) and N at (0.000, 0.000, 0.000).



No. 4
Computed, not measured: crystalline La6Pd2Br3Cl at its relaxed geometry at the PBE level of DFT.

The calculation puts the spin magnetization at 0.00 μB per formula unit. For the formation energy from raw total energies, the calculation gives -114 kJ/mol of atoms.

It has space group C2/m (No. 12), with a = 7.470 Å, b = 12.774 Å, c = 7.794 Å, α = 90.00°, β = 108.53° and γ = 90.00°. The distinct sites, in fractional coordinates, are La at (0.228, 0.000, 0.217), La at (0.248, 0.328, 0.226), Pd at (0.000, 0.168, 0.000), Br at (0.000, 0.000, 0.500), Br at (0.000, 0.340, 0.500) and Cl at (0.000, 0.500, 0.000).



No. 5
Computed, not measured: crystalline Tb2Ni3As4Pt at its relaxed geometry at the PBE level of DFT.

The calculation puts the spin magnetization at 0.00 μB per formula unit. For the total energy, the calculation gives -5.93 eV/atom.

It has space group P-4m2 (No. 115), with a = 4.235 Å, b = 4.235 Å, c = 9.489 Å, α = 90.00°, β = 90.00° and γ = 90.00°. The distinct sites, in fractional coordinates, are Tb at (0.000, 0.500, 0.246), Ni at (0.000, 0.500, 0.884), Ni at (0.500, 0.500, 0.500), As at (0.000, 0.000, 0.000), As at (0.000, 0.500, 0.641), As at (0.500, 0.500, 0.000) and Pt at (0.000, 0.000, 0.500).



No. 6
Computed, not measured: crystalline Na2InHg3 at its relaxed geometry at the PBE level of DFT.

The calculation puts the spin magnetization at 0.00 μB per formula unit. For the total energy, the calculation gives -1.19 eV/atom.

It has space group Cmcm (No. 63), with a = 3.245 Å, b = 29.045 Å, c = 7.023 Å, α = 90.00°, β = 90.00° and γ = 90.00°. The distinct sites, in fractional coordinates, are Na at (0.000, 0.009, 0.250), Na at (0.000, 0.160, 0.750), In at (0.000, 0.348, 0.750), Hg at (0.000, 0.248, 0.250) and Hg at (0.000, 0.426, 0.034).



No. 7
Computed, not measured: crystalline SrTe2MoS at its relaxed geometry at the PBE level of DFT.

The calculation puts the spin magnetization at 4.80 μB per formula unit. For the formation energy from raw total energies, the calculation gives 47 kJ/mol of atoms.

It has space group P4/mmm (No. 123), with a = 5.487 Å, b = 5.487 Å, c = 5.347 Å, α = 90.00°, β = 90.00° and γ = 90.00°. The distinct sites, in fractional coordinates, are Sr at (0.000, 0.000, 0.000), Te at (0.000, 0.500, 0.500), Mo at (0.500, 0.500, 0.000) and S at (0.000, 0.000, 0.500).



No. 8
Computed, not measured: crystalline AgTe2Rh at its relaxed geometry at the PBE level of DFT.

The calculation puts the spin magnetization at 0.00 μB per formula unit. For the formation energy from raw total energies, the calculation gives 9 kJ/mol of atoms.

It has space group P4/mmm (No. 123), with a = 3.326 Å, b = 3.326 Å, c = 7.731 Å, α = 90.00°, β = 90.00° and γ = 90.00°. The distinct sites, in fractional coordinates, are Ag at (0.000, 0.000, 0.000), Te at (0.500, 0.500, 0.281) and Rh at (0.000, 0.000, 0.500).



No. 9
Computed, not measured: crystalline LaMg2SiPt2 at its relaxed geometry at the PBE level of DFT.

The calculation puts the spin magnetization at 0.00 μB per formula unit. For the formation energy from raw total energies, the calculation gives -56 kJ/mol of atoms.

It has space group I4/mmm (No. 139), with a = 5.122 Å, b = 5.122 Å, c = 10.644 Å, α = 90.00°, β = 90.00° and γ = 90.00°. The distinct sites, in fractional coordinates, are La at (0.000, 0.000, 0.000), Mg at (0.000, 0.500, 0.250), Si at (0.000, 0.000, 0.500) and Pt at (0.000, 0.000, 0.287).



No. 10
Computed, not measured: crystalline AcCoN4 at its relaxed geometry at the PBE level of DFT.

The calculation puts the spin magnetization at 0.00 μB per formula unit. For the formation energy from raw total energies, the calculation gives -2 kJ/mol of atoms.

It has space group P-42c (No. 112), with a = 6.346 Å, b = 6.346 Å, c = 5.453 Å, α = 90.00°, β = 90.00° and γ = 90.00°. The distinct sites, in fractional coordinates, are Ac at (0.000, 0.500, 0.250), Co at (0.000, 0.000, 0.000) and N at (0.015, 0.276, 0.863).



No. 11
Computed, not measured: crystalline NaSr2Cd at its relaxed geometry at the PBE level of DFT.

The calculation puts the spin magnetization at 0.00 μB per formula unit. For the total energy, the calculation gives -1.34 eV/atom.

It has space group I-42d (No. 122), with a = 9.464 Å, b = 9.464 Å, c = 7.756 Å, α = 90.00°, β = 90.00° and γ = 90.00°. The distinct sites, in fractional coordinates, are Na at (0.000, 0.000, 0.000), Sr at (0.220, 0.250, 0.625) and Cd at (0.000, 0.000, 0.500).



No. 12
Computed, not measured: crystalline AcZrBi2 at its relaxed geometry at the PBE level of DFT.

The calculation puts the spin magnetization at 0.65 μB per formula unit. For the total energy, the calculation gives -5.53 eV/atom.

It has space group P4/mmm (No. 123), with a = 3.827 Å, b = 3.827 Å, c = 8.204 Å, α = 90.00°, β = 90.00° and γ = 90.00°. The distinct sites, in fractional coordinates, are Ac at (0.000, 0.000, 0.000), Zr at (0.000, 0.000, 0.500) and Bi at (0.500, 0.500, 0.288).



- Look up the spin magnetization of the eleventh one.
  0.00 μB per formula unit



- Which formula does entry 6 have?
  Na2InHg3



- The highest spin magnetization belongs to which entry?
  MnFeBr



- Look up the spin magnetization of the fifth one.
  0.00 μB per formula unit